# 1
# PBE LaPr2ScBi4, relaxed
# ΔH_f (0 K) in meV/atom: -875
# Crystal system: monoclinic
# Spin magnetization in μB per formula unit: 0.0
data_LaPr2ScBi4
_chemical_formula_sum 'La1 Pr2 Sc1 Bi4'
_cell_length_a 7.908
_cell_length_b 4.582
_cell_length_c 7.926
_cell_angle_alpha 90.00
_cell_angle_beta 109.49
_cell_angle_gamma 90.00
_symmetry_space_group_name_H-M 'P 1 2/m 1'
_symmetry_Int_Tables_number 10
loop_
_symmetry_equiv_pos_as_xyz
'x,y,z'
'-x,-y,-z'
'-x,y,-z'
'x,-y,z'
loop_
_atom_site_label
_atom_site_fract_x
_atom_site_fract_y
_atom_site_fract_z
La1 0.000 0.000 0.000
Pr1 0.000 0.500 0.500
Pr2 0.500 0.000 0.500
Sc1 0.500 0.500 0.000
Bi1 0.260 0.500 0.243
Bi2 0.267 0.000 0.766

=====

# 2
# PBE K3Tb3SmTe8, relaxed
# Formation energy from raw total energies in meV per atom: -1326
# Crystal system: trigonal
# Spin magnetization in μB per formula unit: 0.0
data_K3Tb3SmTe8
_chemical_formula_sum 'K9 Tb9 Sm3 Te24'
_cell_length_a 8.8581
_cell_length_b 8.8581
_cell_length_c 25.4274
_cell_angle_alpha 90.00
_cell_angle_beta 90.00
_cell_angle_gamma 120.00
_symmetry_space_group_name_H-M 'R -3 m'
_symmetry_Int_Tables_number 166
_symmetry_space_group_name_Hall '-R 3 2"'
loop_
_atom_site_label
_atom_site_fract_x
_atom_site_fract_y
_atom_site_fract_z
K1 0.0000 0.5000 0.0000
Tb1 0.0000 0.5000 0.5000
Sm1 0.0000 0.0000 0.5000
Te1 0.0000 0.0000 0.2365
Te2 0.0062 0.5031 0.7632

=====

# 3
# PBE TlCoMoAu, relaxed
# ΔH_f (0 K) in meV/atom: 321
# Excess energy over the best structure of this formula in the dataset in meV per atom: 18
# Crystal system: orthorhombic
# Spin magnetization in μB per formula unit: 0.0
data_TlCoMoAu
_chemical_formula_sum 'Tl2 Co2 Mo2 Au2'
_cell_length_a 2.965
_cell_length_b 3.055
_cell_length_c 15.642
_cell_angle_alpha 90.00
_cell_angle_beta 90.00
_cell_angle_gamma 90.00
_symmetry_space_group_name_H-M 'A m m 2'
_symmetry_Int_Tables_number 38
loop_
_symmetry_equiv_pos_as_xyz
'x,y,z'
'-x,-y,z'
'-x,y,z'
'x,-y,z'
'x,y+1/2,z+1/2'
'-x,-y+1/2,z+1/2'
'-x,y+1/2,z+1/2'
'x,-y+1/2,z+1/2'
loop_
_atom_site_label
_atom_site_fract_x
_atom_site_fract_y
_atom_site_fract_z
Tl1 0.000 0.000 0.000
Co1 0.000 0.000 0.224
Mo1 0.500 0.000 0.645
Au1 0.500 0.000 0.836

=====

# 4
# PBE ZrTlTc2Sb, relaxed
# Formation energy from raw total energies in meV per atom: 1911
# Crystal system: tetragonal
# Spin magnetization in μB per formula unit: 3.8
data_ZrTlTc2Sb
_chemical_formula_sum 'Zr1 Tl1 Tc2 Sb1'
_cell_length_a 5.023
_cell_length_b 5.023
_cell_length_c 5.400
_cell_angle_alpha 90.00
_cell_angle_beta 90.00
_cell_angle_gamma 90.00
_symmetry_space_group_name_H-M 'P 4/m m m'
_symmetry_Int_Tables_number 123
_symmetry_space_group_name_Hall '-P 4 2'
loop_
_atom_site_label
_atom_site_fract_x
_atom_site_fract_y
_atom_site_fract_z
Zr1 0.000 0.000 0.000
Tl1 0.500 0.500 0.500
Tc1 0.000 0.500 0.500
Sb1 0.500 0.500 0.000

=====

# 5
# PBE AcMg12Ni5, relaxed
# ΔH_f (0 K) in meV/atom: -44
# Crystal system: orthorhombic
# Spin magnetization in μB per formula unit: 0.0
data_AcMg12Ni5
_chemical_formula_sum 'Ac2 Mg24 Ni10'
_cell_length_a 8.138
_cell_length_b 8.633
_cell_length_c 10.153
_cell_angle_alpha 90.00
_cell_angle_beta 90.00
_cell_angle_gamma 90.00
_symmetry_space_group_name_H-M 'I m m m'
_symmetry_Int_Tables_number 71
_symmetry_space_group_name_Hall '-I 2 2'
loop_
_atom_site_label
_atom_site_fract_x
_atom_site_fract_y
_atom_site_fract_z
Ac1 0.000 0.000 0.000
Mg1 0.000 0.316 0.186
Mg2 0.175 0.263 0.500
Mg3 0.190 0.000 0.282
Ni1 0.000 0.000 0.500
Ni2 0.000 0.500 0.385
Ni3 0.147 0.500 0.000

=====

# 6
# PBE KBiSe2, relaxed
# Formation energy from raw total energies in meV per atom: -557
# Crystal system: tetragonal
# Spin magnetization in μB per formula unit: 0.0
data_KBiSe2
_chemical_formula_sum 'K1 Bi1 Se2'
_cell_length_a 4.430
_cell_length_b 4.430
_cell_length_c 6.031
_cell_angle_alpha 90.00
_cell_angle_beta 90.00
_cell_angle_gamma 90.00
_symmetry_space_group_name_H-M 'P 4/m m m'
_symmetry_Int_Tables_number 123
_symmetry_space_group_name_Hall '-P 4 2'
loop_
_atom_site_label
_atom_site_fract_x
_atom_site_fract_y
_atom_site_fract_z
K1 0.000 0.000 0.000
Bi1 0.500 0.500 0.500
Se1 0.000 0.000 0.500
Se2 0.500 0.500 0.000

=====

# 7
# PBE NaCa5Tl6, relaxed
# ΔH_f (0 K) in meV/atom: -381
# Crystal system: monoclinic
# Spin magnetization in μB per formula unit: 0.0
data_NaCa5Tl6
_chemical_formula_sum 'Na2 Ca10 Tl12'
_cell_length_a 17.217
_cell_length_b 7.846
_cell_length_c 5.445
_cell_angle_alpha 90.00
_cell_angle_beta 108.11
_cell_angle_gamma 90.00
_symmetry_space_group_name_H-M 'C 1 2/m 1'
_symmetry_Int_Tables_number 12
loop_
_symmetry_equiv_pos_as_xyz
'x,y,z'
'-x,-y,-z'
'-x,y,-z'
'x,-y,z'
'x+1/2,y+1/2,z'
'-x+1/2,-y+1/2,-z'
'-x+1/2,y+1/2,-z'
'x+1/2,-y+1/2,z'
loop_
_atom_site_label
_atom_site_fract_x
_atom_site_fract_y
_atom_site_fract_z
Na1 0.000 0.000 0.000
Ca1 0.000 0.500 0.000
Ca2 0.165 0.000 0.665
Ca3 0.167 0.500 0.667
Tl1 0.000 0.245 0.500
Tl2 0.166 0.247 0.166

=====

# 8
# PBE SrTaNb3, relaxed
# ΔH_f (0 K) in meV/atom: 1153
# Excess energy over the best structure of this formula in the dataset in meV per atom: 0
# Crystal system: cubic
# Spin magnetization in μB per formula unit: 0.0
data_SrTaNb3
_chemical_formula_sum 'Sr1 Ta1 Nb3'
_cell_length_a 5.060
_cell_length_b 5.060
_cell_length_c 5.060
_cell_angle_alpha 90.00
_cell_angle_beta 90.00
_cell_angle_gamma 90.00
_symmetry_space_group_name_H-M 'P m -3 m'
_symmetry_Int_Tables_number 221
_symmetry_space_group_name_Hall '-P 4 2 3'
loop_
_atom_site_label
_atom_site_fract_x
_atom_site_fract_y
_atom_site_fract_z
Sr1 0.000 0.000 0.000
Ta1 0.500 0.500 0.500
Nb1 0.000 0.500 0.500

=====

# 9
# PBE ScNiGeRh, relaxed
# ΔH_f (0 K) in meV/atom: -669
# Crystal system: cubic
# Spin magnetization in μB per formula unit: 0.0
data_ScNiGeRh
_chemical_formula_sum 'Sc4 Ni4 Ge4 Rh4'
_cell_length_a 6.166
_cell_length_b 6.166
_cell_length_c 6.166
_cell_angle_alpha 90.00
_cell_angle_beta 90.00
_cell_angle_gamma 90.00
_symmetry_space_group_name_H-M 'F -4 3 m'
_symmetry_Int_Tables_number 216
_symmetry_space_group_name_Hall 'F -4 2 3'
loop_
_atom_site_label
_atom_site_fract_x
_atom_site_fract_y
_atom_site_fract_z
Sc1 0.000 0.000 0.000
Ni1 0.250 0.250 0.250
Ge1 0.000 0.000 0.500
Rh1 0.250 0.250 0.750

=====

# 10
# PBE CaGdAlO4, relaxed
# Formation energy from raw total energies in meV per atom: -3174
# Crystal system: tetragonal
# Spin magnetization in μB per formula unit: 7.0
data_CaGdAlO4
_chemical_formula_sum 'Ca2 Gd2 Al2 O8'
_cell_length_a 3.690
_cell_length_b 3.690
_cell_length_c 11.997
_cell_angle_alpha 90.00
_cell_angle_beta 90.00
_cell_angle_gamma 90.00
_symmetry_space_group_name_H-M 'I 4 m m'
_symmetry_Int_Tables_number 107
_symmetry_space_group_name_Hall 'I 4 -2'
loop_
_atom_site_label
_atom_site_fract_x
_atom_site_fract_y
_atom_site_fract_z
Ca1 0.000 0.000 0.000
Gd1 0.000 0.000 0.714
Al1 0.000 0.000 0.362
O1 0.000 0.000 0.189
O2 0.000 0.000 0.525
O3 0.000 0.500 0.352

=====

# 11
# PBE Ca3Nb3MoN8, relaxed
# Formation energy from raw total energies in meV per atom: -923
# Crystal system: trigonal
# Spin magnetization in μB per formula unit: 0.0
data_Ca3Nb3MoN8
_chemical_formula_sum 'Ca9 Nb9 Mo3 N24'
_cell_length_a 6.2598
_cell_length_b 6.2598
_cell_length_c 16.9466
_cell_angle_alpha 90.00
_cell_angle_beta 90.00
_cell_angle_gamma 120.00
_symmetry_space_group_name_H-M 'R -3 m'
_symmetry_Int_Tables_number 166
_symmetry_space_group_name_Hall '-R 3 2"'
loop_
_atom_site_label
_atom_site_fract_x
_atom_site_fract_y
_atom_site_fract_z
Ca1 0.0000 0.5000 0.0000
Nb1 0.0000 0.5000 0.5000
Mo1 0.0000 0.0000 0.5000
N1 0.0000 0.0000 0.2395
N2 0.0058 0.5029 0.2349

=====

# 12
# PBE PmHoEr5Tm2, relaxed
# ΔH_f (0 K) in meV/atom: 165
# Crystal system: orthorhombic
# Spin magnetization in μB per formula unit: 0.0
data_PmHoEr5Tm2
_chemical_formula_sum 'Pm4 Ho4 Er20 Tm8'
_cell_length_a 5.547
_cell_length_b 19.635
_cell_length_c 10.470
_cell_angle_alpha 90.00
_cell_angle_beta 90.00
_cell_angle_gamma 90.00
_symmetry_space_group_name_H-M 'C m c 21'
_symmetry_Int_Tables_number 36
loop_
_symmetry_equiv_pos_as_xyz
'x,y,z'
'-x,-y,z+1/2'
'-x,y,z'
'x,-y,z+1/2'
'x+1/2,y+1/2,z'
'-x+1/2,-y+1/2,z+1/2'
'-x+1/2,y+1/2,z'
'x+1/2,-y+1/2,z+1/2'
loop_
_atom_site_label
_atom_site_fract_x
_atom_site_fract_y
_atom_site_fract_z
Pm1 0.000 0.084 0.000
Ho1 0.000 0.300 0.561
Er1 0.000 0.022 0.285
Er2 0.000 0.112 0.571
Er3 0.000 0.201 0.258
Er4 0.000 0.219 0.860
Er5 0.000 0.482 0.573
Tm1 0.000 0.387 0.867
Tm2 0.000 0.390 0.285

=====

- spin magnetization of number 4 (ZrTlTc2Sb)?
  3.8 μB per formula unit